[1]
DFT (GGA-PBE) results for a relaxed HgC3 crystal.

Its total moment is 0.0 μB per formula unit. As for the final energy: -5.94 eV per atom. For the density of states at the Fermi level, the calculation gives 2.09 states/eV per cell.

The space group is Cmcm (No. 63) and the conventional cell measures 7.5264, 5.7009 and 5.8182 Å, with angles of 90.00, 90.00 and 90.00 degrees. The inequivalent atoms are Hg at (0.0000, 0.1113, 0.2500), C at (0.0000, 0.2729, 0.7500) and C at (0.0000, 0.3898, 0.5393).

***

[2]
DFT (GGA-PBE) results for a relaxed CsLa2N crystal.

Its total moment is 0.0 μB per formula unit. As for the final energy: -5.05 eV per atom. For the density of states at the Fermi level, the calculation gives 22.62 states/eV per cell.

The space group is I-42d (No. 122) and the conventional cell measures 7.8746, 7.8746 and 11.1599 Å, with angles of 90.00, 90.00 and 90.00 degrees. The inequivalent atoms are Cs at (0.0000, 0.0000, 0.0000), La at (0.0013, 0.7500, 0.6250) and N at (0.0000, 0.0000, 0.5000).

***

[3]
DFT (GGA-PBE) results for a relaxed Pr3Ni2 crystal.

Its total moment is 0.0 μB per formula unit. As for the final energy: -5.39 eV per atom. For the density of states at the Fermi level, the calculation gives 8.50 states/eV per cell.

The space group is Cmmm (No. 65) and the conventional cell measures 4.4831, 14.4388 and 3.9156 Å, with angles of 90.00, 90.00 and 90.00 degrees. The inequivalent atoms are Pr at (0.0000, 0.0000, 0.0000), Pr at (0.0000, 0.3497, 0.5000) and Ni at (0.0000, 0.2026, 0.0000).

***

[4]
DFT (GGA-PBE) results for a relaxed MgNiW crystal.

Its total moment is 2.5 μB per formula unit. As for the final energy: -4.40 eV per atom. For the density of states at the Fermi level, the calculation gives 8.75 states/eV per cell.

The space group is P6_3/mmc (No. 194) and the conventional cell measures 4.8504, 4.8504 and 8.9842 Å, with angles of 90.00, 90.00 and 120.00 degrees. The inequivalent atoms are Mg at (0.3333, 0.6667, 0.2500), Ni at (0.0000, 0.0000, 0.0000) and W at (0.0000, 0.0000, 0.2500).